[1]
VASP calculation (PBE) on an optimized crystal structure of MnCrIr2.

```
MnCrIr2
1.0
2.696 0.000 0.000
0.000 3.732 0.000
0.000 0.000 5.326
Ir Cr Mn
2 1 1
Direct
0.000 0.000 0.985
0.500 0.500 0.266
0.500 0.500 0.751
0.000 0.000 0.498
```

Mass density ... 15.2 g/cm³
Relative energy among the computed polymorphs ... 178.7 meV/atom
Energy of formation ... -0.11 eV per atom
Space-group type ... Pmm2 (25)
DFT total energy ... -9.239 eV per atom

---

[2]
VASP calculation (PBE) on an optimized crystal structure of Mn2CrIr.

```
Mn2CrIr
1.0
-7.217 3.859 2.126
-7.740 1.487 3.062
-6.403 3.191 4.506
Mn Ir Cr
2 1 1
Direct
0.252 0.252 0.252
0.995 0.995 0.995
0.750 0.750 0.750
0.503 0.503 0.503
```

Mass density ... 12.0 g/cm³
Energy of formation ... 0.11 eV per atom
Space-group type ... R3m (160)
DFT total energy ... -9.097 eV per atom

---

[3]
VASP calculation (PBE) on an optimized crystal structure of MnCrIr2.

```
MnCrIr2
1.0
4.000 0.000 0.000
0.000 2.683 0.004
0.000 1.331 4.823
Ir Mn Cr
2 1 1
Direct
0.000 0.957 0.962
0.500 0.292 0.289
0.000 0.687 0.501
0.500 0.564 0.747
```

Mass density ... 15.8 g/cm³
Relative energy among the computed polymorphs ... 142.3 meV/atom
Energy of formation ... -0.15 eV per atom
Space-group type ... Amm2 (38)
DFT total energy ... -9.275 eV per atom

---

[4]
VASP calculation (PBE) on an optimized crystal structure of MnCr3Ir.

```
MnCr3Ir
1.0
4.119 0.000 0.000
0.000 4.119 0.000
0.000 0.000 4.119
Mn Ir Cr
1 1 3
Direct
0.000 0.000 0.000
0.500 0.500 0.500
0.000 0.000 0.500
0.500 0.000 0.000
0.000 0.500 0.000
```

Mass density ... 9.6 g/cm³
Energy of formation ... 1.05 eV per atom
Space-group type ... Pm-3m (221)
DFT total energy ... -8.328 eV per atom

---

[5]
VASP calculation (PBE) on an optimized crystal structure of NaMnCr2Ir.

```
NaMnCr2Ir
1.0
-3.553 0.516 2.681
2.621 -0.931 3.652
0.954 4.357 0.426
Cr Na Mn Ir
2 1 1 1
Direct
0.500 0.000 0.000
0.000 0.000 0.500
0.000 0.000 0.000
0.500 0.500 0.500
0.000 0.500 0.000
```

Mass density ... 6.7 g/cm³
Energy of formation ... 2.37 eV per atom
Space-group type ... P4/mmm (123)
DFT total energy ... -5.350 eV per atom

---

[6]
VASP calculation (PBE) on an optimized crystal structure of MnNbCr2Ir.

```
MnNbCr2Ir
1.0
-2.833 -2.128 2.697
2.821 0.487 3.348
-1.916 3.880 1.050
Ir Nb Cr Mn
1 1 2 1
Direct
0.000 0.000 0.000
0.500 0.500 0.500
0.500 0.000 0.000
0.000 0.000 0.500
0.000 0.500 0.000
```

Mass density ... 8.4 g/cm³
Energy of formation ... 1.45 eV per atom
Space-group type ... P4/mmm (123)
DFT total energy ... -8.017 eV per atom

---

[7]
VASP calculation (PBE) on an optimized crystal structure of MnCrNiIr.

```
MnCrNiIr
1.0
-1.437 2.760 -2.754
-3.983 -0.121 -1.178
-2.620 2.985 1.224
Ni Mn Ir Cr
1 1 1 1
Direct
0.250 0.250 0.250
0.000 0.000 0.000
0.500 0.500 0.500
0.750 0.750 0.750
```

Mass density ... 11.7 g/cm³
Energy of formation ... 0.02 eV per atom
Space-group type ... F-43m (216)
DFT total energy ... -8.340 eV per atom

---

[8]
VASP calculation (PBE) on an optimized crystal structure of MnCr2NiIr.

```
MnCr2NiIr
1.0
4.616 0.000 0.000
0.000 4.819 0.000
0.000 0.000 4.616
Cr Ni Ir Mn
2 1 1 1
Direct
0.000 0.000 0.500
0.500 0.000 0.000
0.500 0.500 0.500
0.000 0.000 0.000
0.000 0.500 0.000
```

Mass density ... 6.6 g/cm³
Energy of formation ... 1.37 eV per atom
Space-group type ... P4/mmm (123)
DFT total energy ... -7.245 eV per atom

---

[9]
VASP calculation (PBE) on an optimized crystal structure of MnCrP2Ir.

```
MnCrP2Ir
1.0
4.300 0.000 0.000
0.000 4.300 0.000
0.000 0.000 4.719
Ir P Cr Mn
1 2 1 1
Direct
0.000 0.000 0.500
0.000 0.500 0.000
0.500 0.000 0.000
0.000 0.000 0.000
0.500 0.500 0.500
```

Mass density ... 6.9 g/cm³
Energy of formation ... 0.72 eV per atom
Space-group type ... P4/mmm (123)
DFT total energy ... -6.977 eV per atom

---

[10]
VASP calculation (PBE) on an optimized crystal structure of MnCrIrPd2.

```
MnCrIrPd2
1.0
-2.355 -3.820 0.726
1.712 -0.256 4.204
-3.181 2.233 1.431
Ir Mn Pd Cr
1 1 2 1
Direct
0.500 0.500 0.500
0.000 0.000 0.000
0.500 0.000 0.000
0.000 0.500 0.000
0.000 0.000 0.500
```

Mass density ... 9.9 g/cm³
Energy of formation ... 1.14 eV per atom
Space-group type ... P4/mmm (123)
DFT total energy ... -6.467 eV per atom

---

[11]
VASP calculation (PBE) on an optimized crystal structure of Rb2MnCrIr.

```
Rb2MnCrIr
1.0
-4.232 -1.972 4.674
-1.485 -2.577 -2.432
4.384 -4.485 2.077
Rb Mn Ir Cr
2 1 1 1
Direct
0.000 0.000 0.500
0.500 0.000 0.000
0.000 0.000 0.000
0.500 0.500 0.500
0.000 0.500 0.000
```

Mass density ... 4.7 g/cm³
Energy of formation ... 2.07 eV per atom
Space-group type ... P4/mmm (123)
DFT total energy ... -3.848 eV per atom

---

[12]
VASP calculation (PBE) on an optimized crystal structure of MnCrReIr.

```
MnCrReIr
1.0
-0.553 -0.811 -4.148
1.710 -3.498 -1.734
-2.513 -3.218 -1.226
Ir Cr Re Mn
1 1 1 1
Direct
0.250 0.250 0.250
0.500 0.500 0.500
0.750 0.750 0.750
0.000 0.000 0.000
```

Mass density ... 14.7 g/cm³
Energy of formation ... 0.00 eV per atom
Space-group type ... F-43m (216)
DFT total energy ... -10.022 eV per atom

---

[13]
VASP calculation (PBE) on an optimized crystal structure of MnCrIrRh.

```
MnCrIrRh
1.0
-2.902 1.963 -2.489
-4.057 0.425 1.355
-1.504 3.874 1.098
Rh Ir Cr Mn
1 1 1 1
Direct
0.250 0.250 0.250
0.750 0.750 0.750
0.500 0.500 0.500
0.000 0.000 0.000
```

Mass density ... 11.9 g/cm³
Energy of formation ... -0.07 eV per atom
Space-group type ... F-43m (216)
DFT total energy ... -8.821 eV per atom

---

[14]
VASP calculation (PBE) on an optimized crystal structure of MnCrTcIrRh.

```
MnCrTcIrRh
1.0
-3.377 0.746 1.526
-2.173 -3.739 1.693
0.166 1.028 4.540
Cr Ir Tc Mn Rh
1 1 1 1 1
Direct
0.283 0.692 0.176
0.880 0.292 0.381
0.490 0.886 0.567
0.082 0.488 0.781
0.686 0.085 0.976
```

Mass density ... 12.2 g/cm³
Energy of formation ... -0.07 eV per atom
Space-group type ... Cm (8)
DFT total energy ... -9.146 eV per atom

---

[15]
VASP calculation (PBE) on an optimized crystal structure of MnCrIrRu.

```
MnCrIrRu
1.0
-3.328 2.560 -0.790
-1.312 0.619 -4.018
-3.709 -1.663 -1.316
Cr Ru Ir Mn
1 1 1 1
Direct
0.500 0.500 0.500
0.750 0.750 0.750
0.250 0.250 0.250
0.000 0.000 0.000
```

Mass density ... 12.1 g/cm³
Energy of formation ... 0.00 eV per atom
Space-group type ... F-43m (216)
DFT total energy ... -9.228 eV per atom